# YHo2Ti PBE optimized geometry
# raw total energy: -5.72 eV per atom
# spin magnetization: 0.0001 μB per atom
# ΔH_f (0 K): 0.65 eV/f.u.
data_YHo2Ti
_chemical_formula_sum 'Y1 Ho2 Ti1'
_symmetry_space_group_name_H-M 'P 1'
_symmetry_Int_Tables_number 1
_symmetry_space_group_name_Hall 'P 1'
_cell_length_a 3.401
_cell_length_b 3.401
_cell_length_c 9.486
_cell_angle_alpha 90.00
_cell_angle_beta 90.00
_cell_angle_gamma 90.00
loop_
_atom_site_label
_atom_site_fract_x
_atom_site_fract_y
_atom_site_fract_z
_atom_site_occupancy
Y1 0.000 0.000 0.000 1
Ho1 0.500 0.500 0.282 1
Ho2 0.500 0.500 0.718 1
Ti1 0.000 0.000 0.500 1